# 1
Computed, not measured: a relaxed As2HRu crystal at the PBE level of DFT.

```
As2HRu
1.0
0.000 2.989 2.989
2.989 0.000 2.989
2.989 2.989 0.000
As H Ru
2 1 1
Direct
0.250 0.250 0.250 As
0.750 0.750 0.750 As
0.000 0.000 0.000 H
0.500 0.500 0.500 Ru
```

Values from the calculation:
M_tot ... 0.00 μB per formula unit
Relative energy among the computed polymorphs ... 15 meV/atom
Symmetry ... Fm-3m, No. 225



# 2
Computed, not measured: a relaxed Cs3Pu2Br7 crystal at the PBE level of DFT.

```
Cs3Pu2Br7
1.0
2.954 -14.733 0.000
2.954 14.733 0.000
0.000 0.000 5.810
Cs Pu Br
3 2 7
Direct
0.000 0.000 0.000 Cs
0.183 0.817 0.000 Cs
0.817 0.183 0.000 Cs
0.398 0.602 0.500 Pu
0.602 0.398 0.500 Pu
0.097 0.903 0.500 Br
0.299 0.701 0.500 Br
0.403 0.597 0.000 Br
0.500 0.500 0.500 Br
0.597 0.403 0.000 Br
0.701 0.299 0.500 Br
0.903 0.097 0.500 Br
```

Values from the calculation:
Formation energy without anion corrections ... -1578 meV/atom
M_tot ... 11.99 μB per formula unit
Symmetry ... Cmmm, No. 65



# 3
Computed, not measured: a relaxed CaSbW2 crystal at the PBE level of DFT.

```
CaSbW2
1.0
4.273 -1.668 0.000
4.273 1.668 0.000
-1.080 0.000 6.472
Ca Sb W
1 1 2
Direct
0.000 0.000 0.000 Ca
0.238 0.238 0.677 Sb
0.493 0.493 0.460 W
0.769 0.769 0.322 W
```

Values from the calculation:
Formation energy without anion corrections ... 447 meV/atom
M_tot ... 0.00 μB per formula unit
Symmetry ... Cm, No. 8



# 4
Computed, not measured: a relaxed MgZrGa6 crystal at the PBE level of DFT.

```
MgZrGa6
1.0
5.901 0.000 0.000
0.000 5.901 0.000
0.000 0.000 4.096
Mg Zr Ga
1 1 6
Direct
0.000 0.000 0.000 Mg
0.500 0.500 0.000 Zr
0.000 0.500 0.000 Ga
0.247 0.247 0.500 Ga
0.247 0.753 0.500 Ga
0.500 0.000 0.000 Ga
0.753 0.247 0.500 Ga
0.753 0.753 0.500 Ga
```

Values from the calculation:
Formation enthalpy at 0 K ... -0.254 eV per atom
M_tot ... 0.00 μB per formula unit
Symmetry ... P4/mmm, No. 123



# 5
Computed, not measured: a relaxed Rb3Np2TlS6 crystal at the PBE level of DFT.

```
Rb3Np2TlS6
1.0
9.654 -2.074 0.000
9.654 2.074 0.000
-2.496 0.000 8.866
Rb Np Tl S
3 2 1 6
Direct
0.000 0.000 0.000 Rb
0.348 0.348 0.658 Rb
0.652 0.652 0.342 Rb
0.328 0.328 0.161 Np
0.672 0.672 0.839 Np
0.000 0.000 0.500 Tl
0.175 0.175 0.649 S
0.181 0.181 0.046 S
0.466 0.466 0.236 S
0.534 0.534 0.764 S
0.819 0.819 0.954 S
0.825 0.825 0.351 S
```

Values from the calculation:
Formation energy without anion corrections ... -1194 meV/atom
M_tot ... 6.00 μB per formula unit
Symmetry ... C2/m, No. 12



# 6
Computed, not measured: a relaxed CoRh4 crystal at the PBE level of DFT.

```
CoRh4
1.0
-1.353 1.353 9.293
1.353 -1.353 9.293
1.353 1.353 -9.293
Co Rh
1 4
Direct
0.000 0.000 0.000 Co
0.199 0.199 0.000 Rh
0.406 0.406 0.000 Rh
0.594 0.594 0.000 Rh
0.801 0.801 0.000 Rh
```

Values from the calculation:
Formation enthalpy at 0 K ... 0.038 eV per atom
M_tot ... 2.01 μB per formula unit
Relative energy among the computed polymorphs ... 9 meV/atom
Symmetry ... I4/mmm, No. 139